(1)
Computed, not measured: crystalline C at its relaxed geometry at the PBE-GGA level of DFT.

Cell and atoms, written as POSCAR:
```
C
1.0
2.468 0.000 0.004
-1.234 2.138 -0.006
-0.216 -1.262 4.193
C
2
direct
0.667 0.333 0.000 C
0.333 0.667 0.000 C
```

E_form (eV per atom): 0.00

(2)
Computed, not measured: crystalline C at its relaxed geometry at the PBE-GGA level of DFT.

Cell and atoms, written as POSCAR:
```
C
1.0
-1.379 -4.700 0.531
0.620 0.344 4.876
-2.443 0.746 0.258
C
4
direct
0.750 0.250 0.051 C
0.250 0.750 0.949 C
0.250 0.750 0.449 C
0.750 0.250 0.551 C
```

E_form (eV per atom): 1.00

(3)
Computed, not measured: crystalline C at its relaxed geometry at the PBE-GGA level of DFT.

Cell and atoms, written as POSCAR:
```
C
1.0
6.701 0.000 0.000
0.000 6.701 0.000
0.000 0.000 6.701
C
46
direct
0.250 0.500 0.000 C
0.750 0.500 0.000 C
0.500 0.000 0.250 C
0.500 0.000 0.750 C
0.000 0.250 0.500 C
0.000 0.750 0.500 C
0.184 0.184 0.184 C
0.184 0.816 0.816 C
0.816 0.184 0.816 C
0.816 0.816 0.184 C
0.316 0.316 0.316 C
0.316 0.684 0.684 C
0.684 0.316 0.684 C
0.684 0.684 0.316 C
0.816 0.816 0.816 C
0.816 0.184 0.184 C
0.184 0.816 0.184 C
0.184 0.184 0.816 C
0.684 0.684 0.684 C
0.684 0.316 0.316 C
0.316 0.684 0.316 C
0.316 0.316 0.684 C
0.000 0.119 0.306 C
0.000 0.881 0.694 C
0.000 0.119 0.694 C
0.000 0.881 0.306 C
0.119 0.306 0.000 C
0.119 0.694 0.000 C
0.881 0.306 0.000 C
0.881 0.694 0.000 C
0.306 0.000 0.119 C
0.306 0.000 0.881 C
0.694 0.000 0.881 C
0.694 0.000 0.119 C
0.381 0.500 0.194 C
0.381 0.500 0.806 C
0.619 0.500 0.806 C
0.619 0.500 0.194 C
0.500 0.194 0.381 C
0.500 0.806 0.619 C
0.500 0.194 0.619 C
0.500 0.806 0.381 C
0.194 0.381 0.500 C
0.194 0.619 0.500 C
0.806 0.381 0.500 C
0.806 0.619 0.500 C
```

E_form (eV per atom): 0.24

(4)
Computed, not measured: crystalline C at its relaxed geometry at the PBE-GGA level of DFT.

Cell and atoms, written as POSCAR:
```
C
1.0
-4.777 4.777 4.777
4.777 -4.777 4.777
4.777 4.777 -4.777
C
29
direct
0.000 0.000 0.000 C
0.264 0.000 0.358 C
0.736 0.736 0.094 C
0.000 0.264 0.358 C
0.358 0.000 0.264 C
0.358 0.264 0.000 C
0.094 0.736 0.736 C
0.736 0.094 0.736 C
0.264 0.358 0.000 C
0.000 0.358 0.264 C
0.642 0.906 0.642 C
0.642 0.642 0.906 C
0.906 0.642 0.642 C
0.000 0.000 0.822 C
0.822 0.000 0.000 C
0.000 0.822 0.000 C
0.178 0.178 0.178 C
0.107 0.000 0.380 C
0.893 0.893 0.272 C
0.000 0.107 0.380 C
0.380 0.000 0.107 C
0.380 0.107 0.000 C
0.272 0.893 0.893 C
0.893 0.272 0.893 C
0.107 0.380 0.000 C
0.000 0.380 0.107 C
0.620 0.728 0.620 C
0.620 0.620 0.728 C
0.728 0.620 0.620 C
```

E_form (eV per atom): 1.91

How do the records compare in excess energy over the best structure of this formula in the dataset? In the order shown, they have 0, 1001, 240, 1908 meV per atom.
How do the records compare in total energy? In the order shown, they have -9.224, -8.223, -8.984, -7.316 eV/atom.
How do the records compare in size of the total moment? In the order shown, they have 0.0, 0.0, 0.0, 2.0 Bohr magnetons per cell.